# 1
# PBE TlRe2Mo, optimized geometry
# Total DFT energy (no corrections)   -70.9 eV per cell
# E_form   664.6 meV per atom
# Energy relative to the lowest polymorph listed for this composition   183.0 meV per atom
# Spin magnetization   0.00 μB/f.u.
data_TlRe2Mo
_chemical_formula_sum 'Tl2 Re4 Mo2'
_cell_length_a 3.1292
_cell_length_b 4.7072
_cell_length_c 9.4534
_cell_angle_alpha 90.00
_cell_angle_beta 90.00
_cell_angle_gamma 90.00
_space_group_name_H-M_alt 'C m m m'
_space_group_IT_number 65
_space_group_name_Hall '-C 2 2'
loop_
_atom_site_label
_atom_site_type_symbol
_atom_site_fract_x
_atom_site_fract_y
_atom_site_fract_z
_atom_site_occupancy
Tl1 Tl 0.0000 0.0000 0.0000 1
Re1 Re 0.0000 0.5000 0.2764 1
Mo1 Mo 0.0000 0.0000 0.5000 1

# 2
# PBE TlGa2SnS6, optimized geometry
# Formation energy (no corrections)   -0.341 eV per atom
# Total DFT energy (no corrections)   -162.4 eV per cell
# Spin magnetization   0.00 μB/f.u.
data_TlGa2SnS6
_chemical_formula_sum 'Tl4 Ga8 Sn4 S24'
_cell_length_a 12.8919
_cell_length_b 12.0729
_cell_length_c 7.1709
_cell_angle_alpha 90.00
_cell_angle_beta 112.47
_cell_angle_gamma 90.00
_space_group_name_H-M_alt 'C 1 2/c 1'
_space_group_IT_number 15
_space_group_name_Hall '-C 2yc'
loop_
_atom_site_label
_atom_site_type_symbol
_atom_site_fract_x
_atom_site_fract_y
_atom_site_fract_z
_atom_site_occupancy
Tl1 Tl 0.0000 0.1435 0.2500 1
Ga1 Ga 0.1807 0.4365 0.1902 1
Sn1 Sn 0.0000 0.1930 0.7500 1
S1 S 0.1190 0.0631 0.6551 1
S2 S 0.1296 0.4250 0.4639 1
S3 S 0.1404 0.2526 0.0729 1

Repeat the second record exactly.
# PBE TlGa2SnS6, optimized geometry
# Formation energy (no corrections)   -0.341 eV per atom
# Total DFT energy (no corrections)   -162.4 eV per cell
# Spin magnetization   0.00 μB/f.u.
data_TlGa2SnS6
_chemical_formula_sum 'Tl4 Ga8 Sn4 S24'
_cell_length_a 12.8919
_cell_length_b 12.0729
_cell_length_c 7.1709
_cell_angle_alpha 90.00
_cell_angle_beta 112.47
_cell_angle_gamma 90.00
_space_group_name_H-M_alt 'C 1 2/c 1'
_space_group_IT_number 15
_space_group_name_Hall '-C 2yc'
loop_
_atom_site_label
_atom_site_type_symbol
_atom_site_fract_x
_atom_site_fract_y
_atom_site_fract_z
_atom_site_occupancy
Tl1 Tl 0.0000 0.1435 0.2500 1
Ga1 Ga 0.1807 0.4365 0.1902 1
Sn1 Sn 0.0000 0.1930 0.7500 1
S1 S 0.1190 0.0631 0.6551 1
S2 S 0.1296 0.4250 0.4639 1
S3 S 0.1404 0.2526 0.0729 1

Which value of spin magnetization does entry 2 give? 0.00 μB/f.u.